VASP calculation (PBE) on a geometry-optimized CeTh2P3Rh4 structure.

- E: -76.9 eV/cell
- Fermi-level density of states: 8.86 states/eV per cell
- Size of the total moment: 0.03 μB per cell
- ΔH_f (0 K): -1051.1 meV/atom
- Symmetry: P-4m2 (115)

Cell: 4.092 4.092 11.093 Å, 90.00 90.00 90.00°
Element x y z (fractional)
1 Th 0.500 0.000 0.222
2 Th 0.000 0.500 0.778
3 P 0.000 0.500 0.124
4 P 0.000 0.000 0.500
5 P 0.500 0.000 0.876
6 Ce 0.500 0.500 0.500
7 Rh 0.000 0.500 0.335
8 Rh 0.500 0.500 0.000
9 Rh 0.500 0.000 0.665
10 Rh 0.000 0.000 0.000

---

VASP calculation (PBE) on a geometry-optimized GeSbAu structure.

- E: -35.2 eV/cell
- Energy relative to the elements, uncorrected: 28 kJ/mol of formula units
- Fermi-level density of states: 4.44 states/eV per cell
- Size of the total moment: 0.00 μB per cell
- Symmetry: P3_212 (153)

Cell: 7.091 7.091 4.854 Å, 90.00 90.00 120.00°
Element x y z (fractional)
1 Au 0.444 0.556 0.167
2 Au 0.112 0.556 0.500
3 Au 0.444 0.888 0.833
4 Sb 0.412 0.206 0.500
5 Sb 0.794 0.206 0.167
6 Sb 0.794 0.588 0.833
7 Ge 0.717 0.858 0.500
8 Ge 0.142 0.283 0.833
9 Ge 0.142 0.858 0.167

---

VASP calculation (PBE) on a geometry-optimized CrSiRu structure.

- E: -24.1 eV/cell
- Energy relative to the elements, uncorrected: 22 kJ/mol of formula units
- Fermi-level density of states: 4.09 states/eV per cell
- Size of the total moment: 0.00 μB per cell
- Symmetry: Fmm2 (42)

Cell: 6.212 6.000 2.675 Å, 81.83 72.94 25.23°
Element x y z (fractional)
1 Si 0.665 0.665 0.335
2 Ru 0.329 0.329 0.671
3 Cr 0.006 0.006 0.994